one) PBE Tl2Cd4Hg, optimized geometry; V = 33.5 Å³ per atom
1.0
-2.753 2.753 7.727
2.753 -2.753 7.727
2.753 2.753 -7.727
Tl Cd Hg
2 4 1
direct
0.120 0.120 0.000 Tl
0.880 0.880 0.000 Tl
0.000 0.500 0.500 Cd
0.313 0.313 0.000 Cd
0.500 0.000 0.500 Cd
0.687 0.687 0.000 Cd
0.500 0.500 0.000 Hg


two) PBE Tl2Cd4Hg, optimized geometry; V = 25.9 Å³ per atom
1.0
1.617 -16.775 0.000
1.617 16.775 0.000
0.000 0.000 3.338
Tl Cd Hg
2 4 1
direct
0.203 0.797 0.000 Tl
0.797 0.203 0.000 Tl
0.067 0.933 0.000 Cd
0.370 0.630 0.500 Cd
0.630 0.370 0.500 Cd
0.933 0.067 0.000 Cd
0.500 0.500 0.500 Hg


Need the numbers? Relative energies in meV per atom: one) 185; two) 0.